No. 1
The following is a DFT calculation (PBE) of an optimized crystal structure of MoOsSe2.

Properties
Energy above the lowest structure with this stoichiometry (meV/atom): 784
Final energy (eV/atom): -6.461
Total moment (μB/cell): 0.00
Formation energy without anion corrections (eV/atom): 0.797
Space-group type: No. 47

Cell and atoms, written as POSCAR:
```
MoOsSe2
1.0
3.027 0.000 0.000
0.000 5.487 0.000
0.000 0.000 4.106
Se Mo Os
2 1 1
Direct
0.500 0.500 0.000
0.000 0.000 0.000
0.500 0.000 0.500
0.000 0.500 0.500
```


No. 2
The following is a DFT calculation (PBE) of an optimized crystal structure of MoOs2Se.

Properties
Final energy (eV/atom): -8.269
Total moment (μB/cell): 0.00
Formation energy without anion corrections (eV/atom): 0.925
Space-group type: No. 122

Cell and atoms, written as POSCAR:
```
MoOs2Se
1.0
5.663 0.000 0.000
0.000 5.663 0.000
2.831 2.831 5.408
Os Se Mo
4 2 2
Direct
0.375 0.383 0.750
0.617 0.125 0.250
0.133 0.625 0.250
0.875 0.867 0.750
0.250 0.750 0.500
0.500 0.500 0.000
0.000 0.000 0.000
0.750 0.250 0.500
```


Q: Which of these has the lowest formation energy without anion corrections?
A: MoOsSe2